The following is a DFT calculation (PBE+U) of a relaxed structure of TlWF5.

The value obtained for the volume is 307.4 Å³ per cell. For the electronic total energy, the calculation gives -73.05 eV per cell. As for the density of states at the Fermi level: 0.000 states/eV per atom.

abc: 6.4315 6.4315 8.2903
angles: 72.65 72.65 75.46
Last column: magnetic moment on the atom in μB.
Atoms (fractional coordinates):
W (0.0000, 0.0000, 0.5000)  1.93
W (0.0000, 0.0000, 0.0000)  1.93
F (0.2450, 0.7437, 0.9692)  0.01
F (0.2024, 0.2169, 0.4016)  0.02
F (0.7550, 0.2563, 0.0308)  0.01
F (0.7976, 0.7831, 0.5984)  0.02
F (0.7437, 0.2450, 0.4692)  0.01
F (0.9488, 0.0512, 0.7500)  0.03
F (0.7831, 0.7976, 0.0984)  0.02
F (0.2563, 0.7550, 0.5308)  0.01
F (0.0512, 0.9488, 0.2500)  0.03
F (0.2169, 0.2024, 0.9016)  0.02
Tl (0.4768, 0.5232, 0.2500)  0.00
Tl (0.5232, 0.4768, 0.7500)  0.00